A plane-wave DFT calculation with PBE was carried out for a relaxed structure of GePPd3. Values from VASP.

M_tot = 0.0 Bohr magnetons per cell
Offset from the most stable computed form = 1.13 eV per formula unit
Energy relative to the elements = -0.107 eV/atom
Crystal system = cubic
Final energy = -5.228 eV per atom

Geometry as Quantum ESPRESSO input:
```
&SYSTEM
  ibrav = 0, nat = 5, ntyp = 3
/
ATOMIC_SPECIES
Ge 72.64 Ge.upf
P 30.97 P.upf
Pd 106.42 Pd.upf
CELL_PARAMETERS angstrom
4.5138 0.0000 0.0000
0.0000 4.5138 0.0000
0.0000 0.0000 4.5138
ATOMIC_POSITIONS angstrom
Ge 0.0000 0.0000 0.0000
P 2.2569 2.2569 2.2569
Pd 0.0000 2.2569 2.2569
Pd 2.2569 0.0000 2.2569
Pd 2.2569 2.2569 0.0000
```